1.
First-principles (GGA-PBE) data for a relaxed structure of Pr3Sm2N4, as listed in the Alexandria database.

abc: 6.304 3.640 15.283
angles: 90.00 90.07 90.00
Space group C2/m (No. 12)
One atom of each set of equivalent atoms:
Pr 0.000 0.000 0.000 x2
Pr 0.166 0.500 0.621 x4
Sm 0.167 0.500 0.189 x4
N 0.001 0.000 0.297 x4
N 0.166 0.500 0.897 x4

Properties
Energy (eV/cell): -136.21
M_tot (μB per atom): 0.0000

2.
First-principles (GGA-PBE) data for a relaxed structure of PrSm8N6, as listed in the Alexandria database.

abc: 6.2641 6.2641 27.4093
angles: 90.00 90.00 120.00
Space group R-3 (No. 148, hexagonal axes)
One atom of each set of equivalent atoms:
Pr 0.0000 0.0000 0.0000 x3
Sm 0.0000 0.0000 0.3333 x6
Sm 0.0000 0.3330 0.1027 x18
N 0.0000 0.3381 0.9425 x18

Properties
Energy (eV/cell): -329.97
M_tot (μB per atom): 0.0485

3.
First-principles (GGA-PBE) data for a relaxed structure of Pr2SmN, as listed in the Alexandria database.

abc: 3.6184 3.6184 29.5451
angles: 90.00 90.00 120.00
Space group R-3m (No. 166, hexagonal axes)
One atom of each set of equivalent atoms:
Pr 0.0000 0.0000 0.1194 x6
Sm 0.0000 0.0000 0.0000 x3
N 0.0000 0.0000 0.5000 x3

Properties
Energy (eV/cell): -74.09
M_tot (μB per atom): 0.0000

4.
First-principles (GGA-PBE) data for a relaxed structure of Pr3SmN4, as listed in the Alexandria database.

abc: 5.185 5.185 5.185
angles: 90.00 90.00 90.00
Space group Pm-3m (No. 221)
One atom of each set of equivalent atoms:
Pr 0.000 0.000 0.500 x3
Sm 0.500 0.500 0.500 x1
N 0.000 0.000 0.000 x1
N 0.000 0.500 0.500 x3

Properties
Energy (eV/cell): -62.98
M_tot (μB per atom): 0.0000

5.
First-principles (GGA-PBE) data for a relaxed structure of Pr3SmN, as listed in the Alexandria database.

abc: 5.204 5.204 5.204
angles: 90.00 90.00 90.00
Space group Pm-3m (No. 221)
One atom of each set of equivalent atoms:
Pr 0.000 0.000 0.500 x3
Sm 0.500 0.500 0.500 x1
N 0.000 0.000 0.000 x1

Properties
Energy (eV/cell): -29.46
M_tot (μB per atom): 0.0002

6.
First-principles (GGA-PBE) data for a relaxed structure of PrSm5N6, as listed in the Alexandria database.

abc: 6.244 10.816 6.244
angles: 90.00 109.47 90.00
Space group C2/m (No. 12)
One atom of each set of equivalent atoms:
Pr 0.000 0.000 0.000 x2
Sm 0.000 0.167 0.500 x4
Sm 0.000 0.333 0.000 x4
Sm 0.000 0.500 0.500 x2
N 0.246 0.500 0.252 x4
N 0.247 0.331 0.748 x8

Properties
Energy (eV/cell): -191.38
M_tot (μB per atom): 0.0000

7.
First-principles (GGA-PBE) data for a relaxed structure of PrSmN2, as listed in the Alexandria database.

abc: 3.5698 3.5698 6.2834
angles: 90.00 90.00 120.00
Space group P-3m1 (No. 164)
One atom of each set of equivalent atoms:
Pr 0.0000 0.0000 0.0000 x1
Sm 0.0000 0.0000 0.5000 x1
N 0.3333 0.6667 0.7439 x2

Properties
Energy (eV/cell): -30.31
M_tot (μB per atom): 0.0000

8.
First-principles (GGA-PBE) data for a relaxed structure of Pr4SmN4, as listed in the Alexandria database.

abc: 12.244 3.666 9.120
angles: 90.00 120.16 90.00
Space group C2/m (No. 12)
One atom of each set of equivalent atoms:
Pr 0.106 0.000 0.383 x4
Pr 0.205 0.500 0.813 x4
Sm 0.000 0.500 0.000 x2
N 0.102 0.000 0.907 x4
N 0.195 0.500 0.301 x4

Properties
Energy (eV/cell): -135.81
ΔE to the lowest computed polymorph (eV per atom): 0.0000
M_tot (μB per atom): 0.0720

9.
First-principles (GGA-PBE) data for a relaxed structure of Pr2Sm2N3, as listed in the Alexandria database.

abc: 12.302 3.654 6.349
angles: 90.00 102.06 90.00
Space group C2/m (No. 12)
One atom of each set of equivalent atoms:
Pr 0.123 0.000 0.381 x4
Sm 0.138 0.500 0.858 x4
N 0.000 0.500 0.500 x2
N 0.243 0.000 0.757 x4

Properties
Energy (eV/cell): -104.60
ΔE to the lowest computed polymorph (eV per atom): 0.0000
M_tot (μB per atom): 0.0620

10.
First-principles (GGA-PBE) data for a relaxed structure of PrSm2N3, as listed in the Alexandria database.

abc: 6.275 10.869 6.275
angles: 90.00 109.45 90.00
Space group C2/m (No. 12)
One atom of each set of equivalent atoms:
Pr 0.000 0.167 0.000 x4
Sm 0.000 0.000 0.500 x2
Sm 0.000 0.334 0.500 x4
Sm 0.000 0.500 0.000 x2
N 0.244 0.500 0.746 x4
N 0.249 0.335 0.254 x8

Properties
Energy (eV/cell): -190.67
M_tot (μB per atom): 0.0000

11.
First-principles (GGA-PBE) data for a relaxed structure of Pr2SmN2, as listed in the Alexandria database.

abc: 6.225 10.412 3.771
angles: 90.00 90.00 90.00
Space group Cmmm (No. 65)
One atom of each set of equivalent atoms:
Pr 0.000 0.162 0.000 x4
Sm 0.000 0.500 0.500 x2
N 0.247 0.000 0.000 x4

Properties
Energy (eV/cell): -70.39
M_tot (μB per atom): 0.0000

12.
First-principles (GGA-PBE) data for a relaxed structure of PrSm2SnN, as listed in the Alexandria database.

abc: 4.937 4.937 5.057
angles: 90.00 90.00 90.00
Space group P4/mmm (No. 123)
One atom of each set of equivalent atoms:
Pr 0.000 0.000 0.000 x1
Sm 0.000 0.500 0.500 x2
Sn 0.500 0.500 0.000 x1
N 0.000 0.000 0.500 x1

Properties
Energy (eV/cell): -31.43
M_tot (μB per atom): 0.0000

no.,formation energy without anion corrections (eV/atom)
1,-1.225
2,-1.167
3,-0.523
4,-1.327
5,-0.414
6,-1.447
7,-1.041
8,-1.196
9,-1.190
10,-1.412
11,-0.854
12,-0.977